No. 1
# Pr5Ir2Au2 (PBE, optimized geometry)
data_Pr5Ir2Au2
_symmetry_space_group_name_H-M 'P 1'
_symmetry_Int_Tables_number 1
_cell_length_a 8.6829
_cell_length_b 8.6829
_cell_length_c 7.9850
_cell_angle_alpha 90.00
_cell_angle_beta 90.00
_cell_angle_gamma 53.87
loop_
_symmetry_equiv_pos_as_xyz
'x,y,z'
loop_
_atom_site_label
_atom_site_fract_x
_atom_site_fract_y
_atom_site_fract_z
Pr1 0.0000 0.0000 0.0000
Pr2 0.0441 0.7002 0.6712
Pr3 0.2002 0.5441 0.1712
Pr4 0.2998 0.9559 0.6712
Pr5 0.4559 0.7998 0.1712
Pr6 0.5000 0.5000 0.5000
Pr7 0.5441 0.2002 0.8288
Pr8 0.7002 0.0441 0.3288
Pr9 0.7998 0.4559 0.8288
Pr10 0.9559 0.2998 0.3288
Ir1 0.1275 0.8725 0.3728
Ir2 0.3725 0.6275 0.8728
Ir3 0.6275 0.3725 0.1272
Ir4 0.8725 0.1275 0.6272
Au1 0.2072 0.2072 0.0000
Au2 0.2928 0.2928 0.5000
Au3 0.7072 0.7072 0.5000
Au4 0.7928 0.7928 0.0000
# DFT formation energy (eV per atom): -0.6650
# Calculated total energy (eV/cell): -108.318


No. 2
# BaLa2Si (PBE, optimized geometry)
data_BaLa2Si
_symmetry_space_group_name_H-M 'P 1'
_symmetry_Int_Tables_number 1
_cell_length_a 5.0720
_cell_length_b 5.0720
_cell_length_c 4.8617
_cell_angle_alpha 90.00
_cell_angle_beta 90.00
_cell_angle_gamma 90.00
loop_
_symmetry_equiv_pos_as_xyz
'x,y,z'
loop_
_atom_site_label
_atom_site_fract_x
_atom_site_fract_y
_atom_site_fract_z
Ba1 0.0000 0.0000 0.0000
La1 0.0000 0.5000 0.5000
La2 0.5000 0.0000 0.5000
Si1 0.5000 0.5000 0.0000
# Energy relative to the elements, uncorrected (eV/atom): -0.07
# Calculated total energy (eV/cell): -17.480


No. 3
# Er8AgPd2 (PBE, optimized geometry)
data_Er8AgPd2
_symmetry_space_group_name_H-M 'P 1'
_symmetry_Int_Tables_number 1
_cell_length_a 9.1171
_cell_length_b 9.1171
_cell_length_c 6.7881
_cell_angle_alpha 105.02
_cell_angle_beta 105.02
_cell_angle_gamma 32.15
loop_
_symmetry_equiv_pos_as_xyz
'x,y,z'
loop_
_atom_site_label
_atom_site_fract_x
_atom_site_fract_y
_atom_site_fract_z
Er1 0.0329 0.0329 0.2740
Er2 0.2014 0.2014 0.8274
Er3 0.3289 0.3289 0.5201
Er4 0.4072 0.4072 0.0331
Er5 0.5928 0.5928 0.9669
Er6 0.6711 0.6711 0.4799
Er7 0.7986 0.7986 0.1726
Er8 0.9671 0.9671 0.7260
Ag1 0.5000 0.5000 0.5000
Pd1 0.1856 0.1856 0.2261
Pd2 0.8144 0.8144 0.7739
# Relative energy among the computed polymorphs (meV per atom): 0
# DFT formation energy (eV per atom): -0.3759
# Calculated total energy (eV/cell): -53.874